Entry from the Alexandria database: CaTlFe2 after structural relaxation (PBE).

The final energy is -5.085 eV per atom. The value obtained for the density of states at the Fermi level is 2.71 states/eV/cell. The space group is R3m, No. 160. The formation energy is 239 meV per atom.

a = 6.3821 Å, b = 6.3821 Å, c = 6.3821 Å
α = 36.82°, β = 36.82°, γ = 36.82°
Closest atoms and distances in Å follow each position.
Fractional positions:
Ca 0.0000 0.0000 0.0000  6 Fe 3.08-3.11, 3 Tl 3.32
Tl 0.2005 0.2005 0.2005  6 Fe 2.78-2.80
Fe 0.4465 0.4465 0.4465  3 Fe 2.33
Fe 0.7822 0.7822 0.7822  3 Fe 2.33

---

Entry from the Alexandria database: CaTlFe2 after structural relaxation (PBE).

The final energy is -4.812 eV per atom. The value obtained for the density of states at the Fermi level is 3.61 states/eV/cell. The space group is Pmmm, No. 47. The formation energy is 511 meV per atom.

a = 3.5496 Å, b = 3.6169 Å, c = 6.4219 Å
α = 90.00°, β = 90.00°, γ = 90.00°
Closest atoms and distances in Å follow each position.
Fractional positions:
Ca 0.0000 0.0000 0.0000  2 Tl 3.21, 8 Fe 3.27, 2 Ca 3.55
Tl 0.0000 0.0000 0.5000  8 Fe 2.78
Fe 0.5000 0.5000 0.3210  1 Fe 2.30
Fe 0.5000 0.5000 0.6790  1 Fe 2.30

---

Entry from the Alexandria database: CaTlFe2 after structural relaxation (PBE).

The final energy is -4.794 eV per atom. The value obtained for the density of states at the Fermi level is 2.92 states/eV/cell. The space group is I4/mmm, No. 139. The formation energy is 530 meV per atom.

a = 5.1700 Å, b = 5.1700 Å, c = 5.1700 Å
α = 131.09°, β = 131.09°, γ = 71.68°
Closest atoms and distances in Å follow each position.
Fractional positions:
Ca 0.0000 0.0000 0.0000  8 Fe 3.00, 4 Tl 3.03
Tl 0.5000 0.5000 0.0000  8 Fe 3.00, 4 Ca 3.03
Fe 0.2500 0.7500 0.5000  4 Tl 3.00, 4 Ca 3.00, 4 Fe 3.03
Fe 0.7500 0.2500 0.5000  4 Tl 3.00, 4 Ca 3.00, 4 Fe 3.03

---

Entry from the Alexandria database: CaTlFe2 after structural relaxation (PBE).

The final energy is -4.528 eV per atom. The value obtained for the density of states at the Fermi level is 4.42 states/eV/cell. The space group is R-3m, No. 166. The formation energy is 795 meV per atom.

a = 9.5500 Å, b = 9.5500 Å, c = 9.5500 Å
α = 18.97°, β = 18.97°, γ = 18.97°
Closest atoms and distances in Å follow each position.
Fractional positions:
Ca 0.0000 0.0000 0.0000  6 Fe 3.04, 6 Ca 3.15
Tl 0.5000 0.5000 0.5000  6 Fe 2.89, 6 Tl 3.15
Fe 0.2466 0.2466 0.2466  3 Tl 2.89, 3 Ca 3.04, 6 Fe 3.15
Fe 0.7534 0.7534 0.7534  3 Tl 2.89, 3 Ca 3.04, 6 Fe 3.15

---

Entry from the Alexandria database: CaTlFe2 after structural relaxation (PBE).

The final energy is -4.758 eV per atom. The value obtained for the density of states at the Fermi level is 9.81 states/eV/cell. The space group is Fm-3m, No. 225. The formation energy is 566 meV per atom.

a = 4.7496 Å, b = 4.7496 Å, c = 4.7496 Å
α = 60.00°, β = 60.00°, γ = 60.00°
Closest atoms and distances in Å follow each position.
Fractional positions:
Ca 0.0000 0.0000 0.0000  8 Fe 2.91
Tl 0.5000 0.5000 0.5000  8 Fe 2.91
Fe 0.2500 0.2500 0.2500  4 Tl 2.91, 4 Ca 2.91
Fe 0.7500 0.7500 0.7500  4 Ca 2.91, 4 Tl 2.91

---

Entry from the Alexandria database: CaTlFe2 after structural relaxation (PBE).

The final energy is -4.534 eV per atom. The value obtained for the density of states at the Fermi level is 9.62 states/eV/cell. The space group is I-42d, No. 122. The formation energy is 790 meV per atom.

a = 6.1978 Å, b = 6.1978 Å, c = 6.1978 Å
α = 102.63°, β = 102.63°, γ = 124.25°
Closest atoms and distances in Å follow each position.
Fractional positions:
Ca 0.0000 0.0000 0.0000  2 Tl 2.90, 4 Fe 2.97
Ca 0.7500 0.2500 0.5000  2 Tl 2.90, 4 Fe 2.97
Tl 0.2500 0.7500 0.5000  4 Fe 2.70, 2 Ca 2.90
Tl 0.5000 0.5000 0.0000  4 Fe 2.70, 2 Ca 2.90
Fe 0.1500 0.1250 0.5250  2 Tl 2.70, 2 Fe 2.92, 2 Ca 2.97
Fe 0.3750 0.8500 0.9750  2 Tl 2.70, 2 Fe 2.92, 2 Ca 2.97
Fe 0.6000 0.6250 0.4750  2 Tl 2.70, 2 Fe 2.92, 2 Ca 2.97
Fe 0.8750 0.4000 0.0250  2 Tl 2.70, 2 Fe 2.92, 2 Ca 2.97